# Ti3AlCo

An optimized crystal structure of Ti3AlCo (PBE, Alexandria).

```
Ti3AlCo
1.0
-1.247 3.436 2.821
-3.509 -2.560 1.566
2.730 -1.721 3.302
Co Al Ti
1 1 3
direct
0.500 0.500 0.500
0.000 0.000 0.000
0.000 0.500 0.000
0.000 0.000 0.500
0.500 0.000 0.000
```

Summary:
* crystal system: cubic
* relative energy among the computed polymorphs: 1.442 eV per atom
* energy of formation: 1.198 eV per atom
* V: 98.44 Å³ per cell
* total magnetic moment: 0.000 μB per formula unit